DFT (PBE-GGA) results for an optimized crystal structure of Tb5UAs6.

Computed properties:
Energy relative to the elements: -135.6 kJ per mole of atoms
Magnetic moment: 0.174 μB/atom

Unit cell a=7.146 b=7.146 c=7.139 alpha=99.59 beta=99.59 gamma=120.02
Atoms (fractional coordinates):
Tb 0.000 0.000 0.000
Tb 0.166 0.834 0.500
Tb 0.332 0.668 0.000
Tb 0.668 0.332 0.000
Tb 0.834 0.166 0.500
U 0.500 0.500 0.500
As 0.090 0.418 0.253
As 0.255 0.255 0.746
As 0.418 0.090 0.253
As 0.582 0.910 0.747
As 0.745 0.745 0.254
As 0.910 0.582 0.747

DFT (PBE-GGA) results for an optimized crystal structure of TbUAs2.

Computed properties:
Energy relative to the elements: -108.1 kJ per mole of atoms
ΔE to the lowest computed polymorph: 20 meV/atom
Magnetic moment: 0.612 μB/atom

Unit cell a=7.113 b=7.113 c=7.113 alpha=131.81 beta=131.81 gamma=70.52
Atoms (fractional coordinates):
Tb 0.375 0.625 0.750
Tb 0.625 0.375 0.250
U 0.125 0.875 0.250
U 0.875 0.125 0.750
As 0.122 0.372 0.750
As 0.372 0.122 0.250
As 0.628 0.878 0.750
As 0.878 0.628 0.250

DFT (PBE-GGA) results for an optimized crystal structure of TbZrU2As5.

Computed properties:
Energy relative to the elements: -29.6 kJ per mole of atoms
Magnetic moment: 0.470 μB/atom

Unit cell a=4.800 b=4.800 c=10.544 alpha=90.00 beta=90.00 gamma=90.00
Atoms (fractional coordinates):
Tb 0.000 0.000 0.000
Zr 0.000 0.000 0.500
U 0.500 0.500 0.305
U 0.500 0.500 0.695
As 0.000 0.000 0.252
As 0.000 0.000 0.748
As 0.000 0.500 0.500
As 0.500 0.000 0.500
As 0.500 0.500 0.000

DFT (PBE-GGA) results for an optimized crystal structure of TbZrU2As4.

Computed properties:
Energy relative to the elements: -98.2 kJ per mole of atoms
Magnetic moment: 0.000 μB/atom

Unit cell a=7.005 b=4.009 c=7.008 alpha=90.00 beta=109.04 gamma=90.00
Atoms (fractional coordinates):
Tb 0.000 0.000 0.000
Zr 0.500 0.500 0.000
U 0.000 0.500 0.500
U 0.500 0.000 0.500
As 0.256 0.500 0.247
As 0.259 0.000 0.757
As 0.741 0.000 0.243
As 0.744 0.500 0.753

DOS(E_F) across the listed records, respectively: 9.05, 8.30, 18.45, 14.33 states/eV/f.u..